# 1
First-principles (PBE) data for a relaxed Re2PtW crystal, as listed in Alexandria.

Lattice parameters (Å, degrees): 9.238 2.769 4.873 90.00 99.79 90.00
Fractional coordinates of all 8 atoms:
Re  0.248  0.000  0.251
Re  0.252  0.500  0.749
Re  0.748  0.500  0.251
Re  0.752  0.000  0.749
Pt  0.000  0.000  0.500
Pt  0.500  0.500  0.500
W  0.000  0.500  0.000
W  0.500  0.000  0.000

Properties
- Crystal system: monoclinic
- Energy of formation: 0.016 eV/atom
- Total DFT energy (no corrections): -10.956 eV per atom
- SG: C2/m
- Relative energy among the computed polymorphs: 123 meV/atom

# 2
First-principles (PBE) data for a relaxed FeGe2Ir2 crystal, as listed in Alexandria.

Lattice parameters (Å, degrees): 7.249 7.249 2.837 90.00 90.00 90.00
Fractional coordinates of all 10 atoms:
Fe  0.000  0.000  0.000
Fe  0.500  0.500  0.000
Ge  0.154  0.346  0.000
Ge  0.346  0.846  0.000
Ge  0.654  0.154  0.000
Ge  0.846  0.654  0.000
Ir  0.146  0.646  0.500
Ir  0.354  0.146  0.500
Ir  0.646  0.854  0.500
Ir  0.854  0.354  0.500

Properties
- Crystal system: tetragonal
- Energy of formation: 0.029 eV/atom
- Total DFT energy (no corrections): -7.055 eV per atom
- SG: P4/mbm
- Relative energy among the computed polymorphs: 0 meV/atom

# 3
First-principles (PBE) data for a relaxed YSc2Rh crystal, as listed in Alexandria.

Lattice parameters (Å, degrees): 5.890 9.113 3.222 90.00 90.00 90.00
Fractional coordinates of all 8 atoms:
Y  0.000  0.000  0.000
Y  0.500  0.500  0.000
Sc  0.250  0.250  0.500
Sc  0.250  0.750  0.500
Sc  0.750  0.250  0.500
Sc  0.750  0.750  0.500
Rh  0.000  0.500  0.000
Rh  0.500  0.000  0.000

Properties
- Crystal system: orthorhombic
- Energy of formation: -0.114 eV/atom
- Total DFT energy (no corrections): -6.734 eV per atom
- SG: Cmmm
- Relative energy among the computed polymorphs: 410 meV/atom